Record 1
# UTc2Rh

Crystalline UTc2Rh at its relaxed geometry (PBE, Alexandria via LeMat-Bulk).

As for the calculated total energy: -10.082 eV per atom. The value obtained for the volume is 65.3 Å³/cell. The calculation puts the energy of formation at -0.2390 eV per atom.

The space group is P4/mmm (No. 123) and the conventional cell measures 4.036, 4.036 and 4.008 Å, with angles of 90.00, 90.00 and 90.00 degrees. The distinct sites, in fractional coordinates, are U at (0.000, 0.000, 0.000), Tc at (0.000, 0.500, 0.500) and Rh at (0.500, 0.500, 0.000).

Record 2
# TbB3C

Crystalline TbB3C at its relaxed geometry (PBE, Alexandria via LeMat-Bulk).

As for the calculated total energy: -6.647 eV per atom. The value obtained for the volume is 93.6 Å³/cell. The calculation puts the energy of formation at 0.1304 eV per atom.

The space group is Cm (No. 8) and the conventional cell measures 4.263, 4.240 and 5.512 Å, with angles of 90.00, 110.11 and 90.00 degrees. The distinct sites, in fractional coordinates, are Tb at (0.000, 0.000, 0.000), B at (0.022, 0.227, 0.504), B at (0.370, 0.000, 0.689) and C at (0.147, 0.500, 0.329).

Record 3
# CsRbBe3

Crystalline CsRbBe3 at its relaxed geometry (PBE, Alexandria via LeMat-Bulk).

Its excess energy over the best structure of this formula in the dataset is 0 meV per atom. As for the calculated total energy: -0.787 eV per atom. The value obtained for the volume is 246.1 Å³/cell. The calculation puts the energy of formation at 1.8133 eV per atom.

The space group is Pm-3m (No. 221) and the conventional cell measures 6.267, 6.267 and 6.267 Å, with angles of 90.00, 90.00 and 90.00 degrees. The distinct sites, in fractional coordinates, are Cs at (0.000, 0.000, 0.000), Rb at (0.500, 0.500, 0.500) and Be at (0.000, 0.500, 0.500).

Record 4
# RbI3N

Crystalline RbI3N at its relaxed geometry (PBE, Alexandria via LeMat-Bulk).

Its excess energy over the best structure of this formula in the dataset is 0 meV per atom. As for the calculated total energy: -2.540 eV per atom. The value obtained for the volume is 149.7 Å³/cell. The uncorrected formation energy comes out at 1.244 eV/f.u.

The space group is Pm-3m (No. 221) and the conventional cell measures 5.309, 5.309 and 5.309 Å, with angles of 90.00, 90.00 and 90.00 degrees. The distinct sites, in fractional coordinates, are Rb at (0.000, 0.000, 0.000), I at (0.000, 0.500, 0.500) and N at (0.500, 0.500, 0.500).

Record 5
# CsNa2Tl2Bi2

Crystalline CsNa2Tl2Bi2 at its relaxed geometry (PBE, Alexandria via LeMat-Bulk).

As for the calculated total energy: -2.539 eV per atom. The value obtained for the volume is 806.3 Å³/cell. The calculation puts the energy of formation at -0.2552 eV per atom.

The space group is R-3m (No. 166, hexagonal axes) and the conventional cell measures 5.5026, 5.5026 and 30.7507 Å, with angles of 90.00, 90.00 and 120.00 degrees. The distinct sites, in fractional coordinates, are Cs at (0.0000, 0.0000, 0.0000), Na at (0.0000, 0.0000, 0.1381), Tl at (0.0000, 0.0000, 0.4462) and Bi at (0.0000, 0.0000, 0.2433).

Record 6
# Tb2CeLu

Crystalline Tb2CeLu at its relaxed geometry (PBE, Alexandria via LeMat-Bulk).

Its excess energy over the best structure of this formula in the dataset is 124 meV per atom. As for the calculated total energy: -4.742 eV per atom. The value obtained for the volume is 506.9 Å³/cell. The calculation puts the energy of formation at 0.1867 eV per atom.

The space group is Fm-3m (No. 225) and the conventional cell measures 7.974, 7.974 and 7.974 Å, with angles of 90.00, 90.00 and 90.00 degrees. The distinct sites, in fractional coordinates, are Tb at (0.250, 0.250, 0.250), Ce at (0.000, 0.000, 0.000) and Lu at (0.000, 0.000, 0.500).

Record 7
# AgCl5

Crystalline AgCl5 at its relaxed geometry (PBE, Alexandria via LeMat-Bulk).

Its excess energy over the best structure of this formula in the dataset is 0 meV per atom. As for the calculated total energy: -2.112 eV per atom. The value obtained for the volume is 381.0 Å³/cell. The uncorrected formation energy comes out at -0.590 eV/f.u.

The space group is Cm (No. 8) and the conventional cell measures 8.481, 4.103 and 11.593 Å, with angles of 90.00, 109.20 and 90.00 degrees. The distinct sites, in fractional coordinates, are Ag at (0.000, 0.000, 0.000), Cl at (0.046, 0.000, 0.653), Cl at (0.078, 0.500, 0.382), Cl at (0.131, 0.500, 0.224), Cl at (0.190, 0.500, 0.984) and Cl at (0.294, 0.000, 0.700).

Record 8
# PuNbNiOs

Crystalline PuNbNiOs at its relaxed geometry (PBE, Alexandria via LeMat-Bulk).

As for the calculated total energy: -10.292 eV per atom. The value obtained for the volume is 276.4 Å³/cell. The calculation puts the energy of formation at 0.0615 eV per atom.

The space group is F-43m (No. 216) and the conventional cell measures 6.514, 6.514 and 6.514 Å, with angles of 90.00, 90.00 and 90.00 degrees. The distinct sites, in fractional coordinates, are Pu at (0.000, 0.000, 0.000), Nb at (0.000, 0.000, 0.500), Ni at (0.250, 0.250, 0.250) and Os at (0.250, 0.250, 0.750).